[1]
DFT (PBE) results for an optimized crystal structure of Tm2RuRh.

Calculated values
- space group = P4/mmm, No. 123
- ΔH_f (0 K) (eV per atom) = -0.73
- VASP energy (eV per formula unit) = -28.48
- total magnetization (μB/cell) = 0.00

a = 3.3685 Å, b = 3.3685 Å, c = 6.7115 Å
α = 90.00°, β = 90.00°, γ = 90.00°
Fractional positions:
Tm  0.0000  0.0000  0.2452
Tm  0.0000  0.0000  0.7548
Rh  0.5000  0.5000  0.5000
Ru  0.5000  0.5000  0.0000

=====

[2]
DFT (PBE) results for an optimized crystal structure of KCaRh2.

Calculated values
- space group = Cmmm, No. 65
- ΔH_f (0 K) (eV per atom) = 0.36
- ΔE to the lowest computed polymorph (eV/f.u.) = 1.11
- VASP energy (eV per formula unit) = -16.36
- total magnetization (μB/cell) = 0.02

a = 3.0076 Å, b = 3.0076 Å, c = 9.6564 Å
α = 90.00°, β = 90.00°, γ = 110.01°
Fractional positions:
Ca  0.5000  0.5000  0.2500
Rh  0.0000  0.0000  0.4765
Rh  0.0000  0.0000  0.0235
K  0.5000  0.5000  0.7500

=====

[3]
DFT (PBE) results for an optimized crystal structure of MgBeTe2.

Calculated values
- space group = F-43m, No. 216
- ΔE to the lowest computed polymorph (eV/f.u.) = 4.30
- VASP energy (eV per formula unit) = -9.60
- total magnetization (μB/cell) = 0.00

a = 5.1227 Å, b = 5.1227 Å, c = 5.1227 Å
α = 60.00°, β = 60.00°, γ = 60.00°
Fractional positions:
Be  0.5000  0.5000  0.5000
Te  0.2500  0.2500  0.2500
Mg  0.7500  0.7500  0.7500
Te  0.0000  0.0000  0.0000

=====

[4]
DFT (PBE) results for an optimized crystal structure of AcMgGaBi3.

Calculated values
- space group = P2_1/m, No. 11
- ΔH_f (0 K) (eV per atom) = -0.38
- VASP energy (eV per formula unit) = -22.65
- total magnetization (μB/cell) = 0.00

a = 5.0182 Å, b = 6.8352 Å, c = 11.0461 Å
α = 99.52°, β = 90.00°, γ = 90.00°
Fractional positions:
Ga  0.2500  0.1096  0.6198
Bi  0.7500  0.9291  0.1254
Bi  0.7500  0.4218  0.1677
Bi  0.2500  0.7214  0.4376
Bi  0.2500  0.0709  0.8746
Ga  0.7500  0.8904  0.3802
Bi  0.7500  0.2786  0.5624
Mg  0.2500  0.6500  0.1115
Ac  0.2500  0.2005  0.3186
Mg  0.7500  0.3500  0.8885
Bi  0.2500  0.5782  0.8323
Ac  0.7500  0.7995  0.6814

=====

> What is the VASP energy in the fourth record?

-22.65 eV per formula unit

=====

> total magnetization of number 4 (AcMgGaBi3)?

0.00 μB/cell

=====

> Look up the total magnetization of the first one.

0.00 μB/cell

=====

> VASP energy of number 2 (KCaRh2)?

-16.36 eV per formula unit